# Ce2ThCd8 | the Alexandria database | PBE | relaxed
data_Ce2ThCd8
_chemical_formula_sum 'Ce4 Th2 Cd16'
_symmetry_space_group_name_H-M 'C 1 2/m 1'
_symmetry_Int_Tables_number 12
_cell_length_a 8.4937
_cell_length_b 15.7770
_cell_length_c 5.4021
_cell_angle_alpha 90.00
_cell_angle_beta 129.40
_cell_angle_gamma 90.00
loop_
_symmetry_equiv_pos_as_xyz
'x,y,z'
'-x,-y,-z'
'-x,y,-z'
'x,-y,z'
'x+1/2,y+1/2,z'
'-x+1/2,-y+1/2,-z'
'-x+1/2,y+1/2,-z'
'x+1/2,-y+1/2,z'
loop_
_atom_site_label
_atom_site_type_symbol
_atom_site_fract_x
_atom_site_fract_y
_atom_site_fract_z
Ce1 Ce 0.0000 0.1898 0.0000
Th1 Th 0.0000 0.5000 0.5000
Cd1 Cd 0.0000 0.2958 0.5000
Cd2 Cd 0.0005 0.0000 0.7527
Cd3 Cd 0.2237 0.3766 0.2245
# Volume   559.4 Å³/cell
# Formation energy   -13 kJ per mole of atoms
# DOS at the Fermi energy   1.7114 states/eV/atom

=====

# CeThCd | the Alexandria database | PBE | relaxed
data_CeThCd
_chemical_formula_sum 'Ce4 Th4 Cd4'
_symmetry_space_group_name_H-M 'C 1 2/m 1'
_symmetry_Int_Tables_number 12
_cell_length_a 5.9164
_cell_length_b 3.4162
_cell_length_c 17.2825
_cell_angle_alpha 90.00
_cell_angle_beta 90.06
_cell_angle_gamma 90.00
loop_
_symmetry_equiv_pos_as_xyz
'x,y,z'
'-x,-y,-z'
'-x,y,-z'
'x,-y,z'
'x+1/2,y+1/2,z'
'-x+1/2,-y+1/2,-z'
'-x+1/2,y+1/2,-z'
'x+1/2,-y+1/2,z'
loop_
_atom_site_label
_atom_site_type_symbol
_atom_site_fract_x
_atom_site_fract_y
_atom_site_fract_z
Ce1 Ce 0.1659 0.0000 0.2434
Th1 Th 0.1670 0.0000 0.5863
Cd1 Cd 0.0009 0.5000 0.9165
# Volume   349.3 Å³/cell
# Formation energy   6 kJ per mole of atoms
# DOS at the Fermi energy   2.0157 states/eV/atom
# Offset from the most stable computed form   8.8 kJ/mol of atoms

=====

# Ce2ThCd | the Alexandria database | PBE | relaxed
data_Ce2ThCd
_chemical_formula_sum 'Ce6 Th3 Cd3'
_symmetry_space_group_name_H-M 'R -3 m'
_symmetry_Int_Tables_number 166
_symmetry_space_group_name_Hall '-R 3 2"'
_cell_length_a 3.3904
_cell_length_b 3.3904
_cell_length_c 36.6696
_cell_angle_alpha 90.00
_cell_angle_beta 90.00
_cell_angle_gamma 120.00
loop_
_atom_site_label
_atom_site_type_symbol
_atom_site_fract_x
_atom_site_fract_y
_atom_site_fract_z
Ce1 Ce 0.0000 0.0000 0.0902
Th1 Th 0.0000 0.0000 0.5000
Cd1 Cd 0.0000 0.0000 0.0000
# Volume   365.0 Å³/cell
# Formation energy   19 kJ per mole of atoms
# DOS at the Fermi energy   2.3159 states/eV/atom
# Offset from the most stable computed form   25.4 kJ/mol of atoms

=====

> Which formula does entry 2 have?

CeThCd